Entry from the Alexandria database: a geometry-optimized Li2Hf3Se6 structure (PBE-GGA).

Geometry as POSCAR:
```
Li2Hf3Se6
1.0
6.203 0.000 1.846
3.101 5.606 0.923
0.176 0.000 6.963
Hf Se Li
3 6 2
Direct
0.000 0.000 0.000
0.667 0.666 0.000
0.333 0.334 0.000
0.917 0.668 0.246
0.585 0.332 0.246
0.415 0.668 0.754
0.083 0.332 0.754
0.253 0.000 0.246
0.747 0.000 0.754
0.833 0.334 0.500
0.167 0.666 0.500
```

Results
As for the formation energy (no corrections): -1317 meV per atom. For the final energy, the calculation gives -0.4616 Ry/atom.